Record 1
A plane-wave DFT calculation with GGA-PBE was carried out for crystalline Na4Ho3SnO8 at its relaxed geometry.

Cell: 6.8435 6.8435 6.8435 Å, 59.67 59.67 59.67°
With the nearest neighbours (Å) after each atom.
Fractional positions:
Na (0.0000, 0.0000, 0.0000)  6 O 2.53
Na (0.0000, 0.5000, 0.5000)  6 O 2.54-2.56
Na (0.5000, 0.0000, 0.5000)  6 O 2.54-2.56
Na (0.5000, 0.5000, 0.0000)  6 O 2.54-2.56
Ho (0.0000, 0.0000, 0.5000)  6 O 2.28-2.29
Ho (0.0000, 0.5000, 0.0000)  6 O 2.28-2.29
Ho (0.5000, 0.0000, 0.0000)  6 O 2.28-2.29
Sn (0.5000, 0.5000, 0.5000)  6 O 2.31
O (0.2360, 0.2360, 0.2360)  3 Ho 2.28, 3 Na 2.56
O (0.2360, 0.7383, 0.7383)  2 Ho 2.29, 1 Sn 2.31, 3 Na 2.53-2.54
O (0.2617, 0.2617, 0.7640)  2 Ho 2.29, 1 Sn 2.31, 3 Na 2.53-2.54
O (0.2617, 0.7640, 0.2617)  2 Ho 2.29, 1 Sn 2.31, 3 Na 2.53-2.54
O (0.7383, 0.2360, 0.7383)  2 Ho 2.29, 1 Sn 2.31, 3 Na 2.53-2.54
O (0.7383, 0.7383, 0.2360)  2 Ho 2.29, 1 Sn 2.31, 3 Na 2.53-2.54
O (0.7640, 0.2617, 0.2617)  2 Ho 2.29, 1 Sn 2.31, 3 Na 2.53-2.54
O (0.7640, 0.7640, 0.7640)  3 Ho 2.28, 3 Na 2.56

Results
Total magnetic moment (μB/atom): 0.00
Space-group type: R-3m (166)
Total DFT energy (no corrections) (eV/f.u.): -101.924

---

Record 2
A plane-wave DFT calculation with GGA-PBE was carried out for crystalline LiYTh2As4 at its relaxed geometry.

Cell: 7.0977 4.2537 7.3471 Å, 90.00 109.84 90.00°
With the nearest neighbours (Å) after each atom.
Fractional positions:
Li (0.0000, 0.0000, 0.0000)  6 As 2.92-2.97
Y (0.0000, 0.5000, 0.5000)  6 As 2.95
Th (0.5000, 0.0000, 0.5000)  6 As 2.97-2.99
Th (0.5000, 0.5000, 0.0000)  6 As 2.96-2.99
As (0.2436, 0.0000, 0.7495)  1 Li 2.92, 2 Y 2.95, 3 Th 2.99
As (0.2500, 0.5000, 0.2507)  1 Y 2.95, 3 Th 2.96-2.97, 2 Li 2.97
As (0.7500, 0.5000, 0.7493)  1 Y 2.95, 3 Th 2.96-2.97, 2 Li 2.97
As (0.7564, 0.0000, 0.2505)  1 Li 2.92, 2 Y 2.95, 3 Th 2.99

Results
Energy of formation from the pure elements (kcal/mol of atoms): -27.45
Total magnetic moment (μB/atom): 0.00
Space-group type: P2/m (10)
Total DFT energy (no corrections) (eV/f.u.): -51.339

---

Record 3
A plane-wave DFT calculation with GGA-PBE was carried out for crystalline Ho3Si3Os2 at its relaxed geometry.

Cell: 7.9551 13.9419 5.6914 Å, 90.00 90.00 90.00°
With the nearest neighbours (Å) after each atom.
Fractional positions:
Ho (0.0542, 0.1134, 0.1193)  6 Si 2.96-3.32, 4 Os 3.04-3.24
Ho (0.0542, 0.3866, 0.1193)  6 Si 2.96-3.32, 4 Os 3.04-3.24
Ho (0.1973, 0.2500, 0.6297)  4 Si 2.92-3.01, 4 Os 3.16-3.23
Ho (0.3027, 0.7500, 0.1297)  4 Si 2.92-3.01, 4 Os 3.16-3.23
Ho (0.4458, 0.6134, 0.6193)  6 Si 2.96-3.32, 4 Os 3.04-3.24
Ho (0.4458, 0.8866, 0.6193)  6 Si 2.96-3.32, 4 Os 3.04-3.24
Ho (0.5542, 0.1134, 0.3807)  6 Si 2.96-3.32, 4 Os 3.04-3.24
Ho (0.5542, 0.3866, 0.3807)  6 Si 2.96-3.32, 4 Os 3.04-3.24
Ho (0.6973, 0.2500, 0.8703)  4 Si 2.92-3.01, 4 Os 3.16-3.23
Ho (0.8027, 0.7500, 0.3703)  4 Si 2.92-3.01, 4 Os 3.16-3.23
Ho (0.9458, 0.6134, 0.8807)  6 Si 2.96-3.32, 4 Os 3.04-3.24
Ho (0.9458, 0.8866, 0.8807)  6 Si 2.96-3.32, 4 Os 3.04-3.24
Si (0.1465, 0.7500, 0.5935)  2 Os 2.55
Si (0.1888, 0.0400, 0.6405)  3 Os 2.34-2.41
Si (0.1888, 0.4600, 0.6405)  3 Os 2.34-2.41
Si (0.3112, 0.5400, 0.1405)  3 Os 2.34-2.41
Si (0.3112, 0.9600, 0.1405)  3 Os 2.34-2.41
Si (0.3535, 0.2500, 0.0935)  2 Os 2.55
Si (0.6465, 0.7500, 0.9065)  2 Os 2.55
Si (0.6888, 0.0400, 0.8595)  3 Os 2.34-2.41
Si (0.6888, 0.4600, 0.8595)  3 Os 2.34-2.41
Si (0.8112, 0.5400, 0.3595)  3 Os 2.34-2.41
Si (0.8112, 0.9600, 0.3595)  3 Os 2.34-2.41
Si (0.8535, 0.2500, 0.4065)  2 Os 2.55
Os (0.0946, 0.5890, 0.3918)  4 Si 2.34-2.55
Os (0.0946, 0.9110, 0.3918)  4 Si 2.34-2.55
Os (0.4054, 0.0890, 0.8918)  4 Si 2.34-2.55
Os (0.4054, 0.4110, 0.8918)  4 Si 2.34-2.55
Os (0.5946, 0.5890, 0.1082)  4 Si 2.34-2.55
Os (0.5946, 0.9110, 0.1082)  4 Si 2.34-2.55
Os (0.9054, 0.0890, 0.6082)  4 Si 2.34-2.55
Os (0.9054, 0.4110, 0.6082)  4 Si 2.34-2.55

Results
Total magnetic moment (μB/atom): 0.00
Space-group type: Pnma (62)
Total DFT energy (no corrections) (eV/f.u.): -58.482

---

Record 4
A plane-wave DFT calculation with GGA-PBE was carried out for crystalline CsTc3P at its relaxed geometry.

Cell: 4.6449 4.6449 4.6449 Å, 90.00 90.00 90.00°
With the nearest neighbours (Å) after each atom.
Fractional positions:
Cs (0.0000, 0.0000, 0.0000)  12 Tc 3.28
Tc (0.0000, 0.5000, 0.5000)  2 P 2.32
Tc (0.5000, 0.0000, 0.5000)  2 P 2.32
Tc (0.5000, 0.5000, 0.0000)  2 P 2.32
P (0.5000, 0.5000, 0.5000)  6 Tc 2.32

Results
Energy of formation from the pure elements (kcal/mol of atoms): 26.76
Offset from the most stable computed form (meV per atom): 0
Total magnetic moment (μB/atom): 0.74
Space-group type: Pm-3m (221)
Total DFT energy (no corrections) (eV/f.u.): -31.560

---

Record 5
A plane-wave DFT calculation with GGA-PBE was carried out for crystalline AlInRh2 at its relaxed geometry.

Cell: 8.8324 8.8324 8.8324 Å, 19.38 19.38 19.38°
With the nearest neighbours (Å) after each atom.
Fractional positions:
Al (0.0000, 0.0000, 0.0000)  3 Rh 2.48
In (0.2363, 0.2363, 0.2363)  3 Rh 2.74, 6 In 2.97, 3 Al 3.05
Rh (0.4874, 0.4874, 0.4874)  3 In 2.74, 9 Rh 2.80-2.97
Rh (0.7356, 0.7356, 0.7356)  3 Al 2.48

Results
Energy of formation from the pure elements (kcal/mol of atoms): -2.34
Total magnetic moment (μB/atom): 0.00
Space-group type: R3m (160)
Total DFT energy (no corrections) (eV/f.u.): -21.589

---

Record 6
A plane-wave DFT calculation with GGA-PBE was carried out for crystalline DySnRu at its relaxed geometry.

Cell: 4.6369 4.6369 3.4964 Å, 90.00 90.00 120.00°
With the nearest neighbours (Å) after each atom.
Fractional positions:
Dy (0.0000, 0.0000, 0.0000)  6 Sn 3.20, 6 Ru 3.20, 2 Dy 3.50
Sn (0.3333, 0.6667, 0.5000)  3 Ru 2.68
Ru (0.6667, 0.3333, 0.5000)  3 Sn 2.68

Results
Energy of formation from the pure elements (kcal/mol of atoms): -9.21
Total magnetic moment (μB/atom): 0.00
Space-group type: P-6m2 (187)
Total DFT energy (no corrections) (eV/f.u.): -19.078